# 1
## NaScMn2 (GGA-PBE)

Data for an optimized crystal structure of NaScMn2.

Cell: 3.832 3.832 9.835 Å, 78.77 78.77 90.00°
Site moments in Bohr magnetons follow the coordinates.
Atoms (fractional coordinates):
Sc1 0.000 0.000 0.000  -0.20
Sc2 0.750 0.250 0.500  -0.20
Na1 0.500 0.500 0.000  -0.01
Na2 0.250 0.750 0.500  -0.01
Mn1 0.033 0.125 0.250  0.83
Mn2 0.717 0.625 0.250  0.84
Mn3 0.375 0.967 0.750  0.74
Mn4 0.875 0.283 0.750  0.76

Volume   139 Å³/cell
Energy relative to the lowest polymorph listed for this composition   0.379 eV/atom
Formation energy   401.0 kJ/mol of formula units
Density of states at the Fermi level   1.166 states/eV/atom
VASP energy   -5.46 eV per atom
Magnetization   1.4 μB/f.u.
Space group   I-42d, No. 122

---

# 2
## NaSc2Mn (GGA-PBE)

Data for an optimized crystal structure of NaSc2Mn.

Cell: 4.771 4.771 4.771 Å, 60.00 60.00 60.00°
Atoms (fractional coordinates):
Sc1 0.250 0.250 0.250
Sc2 0.750 0.750 0.750
Na1 0.000 0.000 0.000
Mn1 0.500 0.500 0.500

Volume   77 Å³/cell
Energy relative to the lowest polymorph listed for this composition   0.199 eV/atom
Formation energy   205.9 kJ/mol of formula units
Density of states at the Fermi level   1.862 states/eV/atom
VASP energy   -5.25 eV per atom
Magnetization   0.0 μB/f.u.
Space group   Fm-3m, No. 225

---

# 3
## NaSc2Mn (GGA-PBE)

Data for an optimized crystal structure of NaSc2Mn.

Cell: 10.489 10.489 10.489 Å, 17.57 17.57 17.57°
Atoms (fractional coordinates):
Sc1 0.892 0.892 0.892
Sc2 0.108 0.108 0.108
Na1 0.000 0.000 0.000
Mn1 0.500 0.500 0.500

Volume   92 Å³/cell
Energy relative to the lowest polymorph listed for this composition   0.000 eV/atom
Formation energy   129.3 kJ/mol of formula units
Density of states at the Fermi level   1.317 states/eV/atom
VASP energy   -5.45 eV per atom
Magnetization   0.0 μB/f.u.
Space group   R-3m, No. 166